5
Lattice="4.8099 0.0000 0.0000 0.0000 4.8099 0.0000 0.0000 0.0000 3.4836" Properties=species:S:1:pos:R:3 comment="PBE-GGA MgP2OsO, optimized geometry" spacegroup=P4/mmm de_polymorph_mev_per_atom=978 pbc="T T T"
Mg 0.0000 0.0000 0.0000
P 0.0000 2.4050 0.0000
P 2.4050 0.0000 0.0000
Os 2.4050 2.4050 1.7418
O 0.0000 0.0000 1.7418

9
Lattice="5.2956 0.0000 0.0000 -2.6478 4.5861 0.0000 0.0000 0.0000 5.0955" Properties=species:S:1:pos:R:3 comment="PBE-GGA MgOsPbO6, optimized geometry" energy_ev_per_atom=-6.504 spacegroup=P312 pbc="T T T"
Mg 0.0000 0.0000 0.0000
Os 0.0000 3.0574 0.0000
Pb 2.6478 1.5287 2.5478
O -0.6409 1.6509 1.0759
O -1.5386 3.2056 4.0196
O 0.6409 1.6509 4.0196
O -0.8977 4.3157 1.0759
O 1.5386 3.2056 1.0759
O 0.8976 4.3157 4.0196

12
Lattice="3.4335 -3.4917 0.0000 3.4335 3.4917 0.0000 0.0000 0.0000 6.6608" Properties=species:S:1:pos:R:3 comment="PBE-GGA MgOsPb2O8, optimized geometry" energy_ev_per_atom=-6.142 spacegroup=Cmmm pbc="T T T"
Mg 0.0000 0.0000 0.0000
Os 0.0000 0.0000 3.3304
Pb 3.4335 0.0000 1.6228
Pb 3.4335 0.0000 5.0380
O 3.4335 2.2426 1.8619
O 3.4335 2.2426 4.7989
O 1.9074 0.0000 3.3304
O 2.0082 0.0000 0.0000
O 4.8588 0.0000 0.0000
O 4.9596 0.0000 3.3304
O 3.4335 -2.2426 1.8619
O 3.4335 -2.2426 4.7989

12
Lattice="5.8313 0.0000 0.0000 -2.9156 5.0500 0.0000 0.0000 0.0000 6.8904" Properties=species:S:1:pos:R:3 comment="PBE-GGA MgOs2PbO8, optimized geometry" energy_ev_per_atom=-6.771 spacegroup=P-3 pbc="T T T"
Mg 0.0000 0.0000 0.0000
Os 0.0000 3.3667 1.7484
Os 2.9156 1.6833 5.1420
Pb 0.0000 0.0000 3.4452
O -0.0081 1.6007 1.3409
O -1.5253 4.2567 1.3409
O 1.3821 0.8074 5.5495
O 0.0000 3.3667 3.5415
O 2.9156 1.6833 3.3490
O 1.5335 4.2426 1.3409
O 4.4410 0.7933 5.5495
O 2.9238 3.4494 5.5495

10
Lattice="0.0000 4.0104 4.0104 4.0104 0.0000 4.0104 4.0104 4.0104 0.0000" Properties=species:S:1:pos:R:3 comment="PBE-GGA MgOsPb2O6, optimized geometry" energy_ev_per_atom=-6.384 spacegroup=Fm-3m pbc="T T T"
Mg 0.0000 0.0000 0.0000
Os 4.0104 4.0104 4.0104
Pb 2.0052 2.0052 2.0052
Pb 6.0155 6.0155 6.0155
O 4.0104 4.0104 2.0761
O 4.0104 2.0761 4.0104
O 5.9447 4.0104 4.0104
O 2.0761 4.0104 4.0104
O 4.0104 5.9447 4.0104
O 4.0104 4.0104 5.9447

12
Lattice="4.6970 0.0000 0.0000 -0.4478 5.0913 0.0000 -0.1579 -0.3974 7.0111" Properties=species:S:1:pos:R:3 comment="PBE-GGA Pm2MgOsO8, optimized geometry" energy_ev_per_atom=-7.319 spacegroup=P-1 pbc="T T T"
Pm 0.3744 -0.0761 1.7109
Pm 3.7170 4.7700 5.3002
Mg 2.1246 2.5456 0.0000
Os 2.0457 2.3469 3.5056
O 0.6132 1.1780 3.7431
O 0.7610 0.6453 6.8567
O 1.2461 3.0569 1.9277
O 1.2443 3.6232 4.6110
O 2.8471 1.0707 2.4002
O 2.8453 1.6370 5.0834
O 3.3303 4.0485 0.1544
O 3.4781 3.5159 3.2680

12
Lattice="3.2885 -3.4326 0.0000 3.2885 3.4326 0.0000 0.0000 0.0000 6.3167" Properties=species:S:1:pos:R:3 comment="PBE-GGA PuMg2OsO8, optimized geometry" energy_ev_per_atom=-7.780 spacegroup=Cmmm pbc="T T T"
Pu 0.0000 0.0000 0.0000
Mg 3.2885 0.0000 1.6393
Mg 3.2885 0.0000 4.6774
Os 0.0000 0.0000 3.1584
O 3.2885 2.0758 1.7097
O 3.2885 2.0758 4.6070
O 1.8374 0.0000 3.1584
O 1.9404 0.0000 0.0000
O 4.6366 0.0000 0.0000
O 4.7396 0.0000 3.1584
O 3.2885 -2.0758 1.7097
O 3.2885 -2.0758 4.6070

10
Lattice="6.2633 0.0000 0.0000 -3.1317 5.4242 0.0000 0.0000 0.0000 5.2687" Properties=species:S:1:pos:R:3 comment="PBE-GGA Rb2MgOsO6, optimized geometry" energy_ev_per_atom=-5.910 spacegroup=P-3m1 pbc="T T T"
Rb 0.0000 3.6161 1.1068
Rb 3.1317 1.8081 4.1619
Mg 0.0000 0.0000 2.6344
Os 0.0000 0.0000 0.0000
O 0.0000 1.5000 4.1298
O -1.8326 4.6742 4.1298
O 1.2990 0.7500 1.1389
O 1.8326 4.6742 4.1298
O 4.9643 0.7500 1.1389
O 3.1317 3.9242 1.1389

9
Lattice="2.7130 -4.7733 0.0000 2.7130 4.7733 0.0000 -0.0024 0.0000 6.0111" Properties=species:S:1:pos:R:3 comment="PBE-GGA RbMgOsO6, optimized geometry" energy_ev_per_atom=-6.151 spacegroup=C2 pbc="T T T"
Rb 0.0000 0.0000 0.0000
Mg 2.7118 1.7171 3.0056
Os 2.7118 -1.6932 3.0056
O 2.1309 -0.0802 2.1098
O 1.2551 -1.8590 4.1239
O 1.7283 -2.7064 1.8464
O 3.2928 -0.0802 3.9014
O 4.1686 -1.8590 1.8873
O 3.6954 -2.7064 4.1647

5
Lattice="3.7860 0.0000 0.0000 0.0000 3.7860 0.0000 0.0000 0.0000 5.1657" Properties=species:S:1:pos:R:3 comment="PBE-GGA MgOsRuO2, optimized geometry" energy_ev_per_atom=-6.515 spacegroup=P4/mmm pbc="T T T"
Mg 0.0000 0.0000 0.0000
Os 1.8930 1.8930 2.5829
Ru 1.8930 1.8930 0.0000
O 0.0000 1.8930 2.5829
O 1.8930 0.0000 2.5829

18
Lattice="5.2243 0.0000 0.0000 -2.6122 4.5244 0.0000 0.0000 0.0000 9.0934" Properties=species:S:1:pos:R:3 comment="PBE-GGA MgSbOsO6, optimized geometry" energy_ev_per_atom=-6.662 spacegroup=P-31c pbc="T T T"
Mg 0.0000 0.0000 0.0000
Mg 0.0000 0.0000 4.5467
Sb 0.0000 3.0163 2.2733
Sb 2.6122 1.5081 6.8200
Os 0.0000 3.0163 6.8200
Os 2.6122 1.5081 2.2733
O -0.8940 1.5968 5.7548
O -1.6763 2.9518 7.8852
O 0.8940 1.5968 7.8852
O -0.7823 4.5002 5.7548
O 1.8299 0.0242 1.2081
O 0.9359 1.5726 3.3386
O 1.6763 2.9518 5.7548
O 0.7823 4.5002 7.8852
O 3.3945 0.0242 3.3386
O 1.7182 2.9276 1.2081
O 4.2884 1.5726 1.2081
O 3.5062 2.9276 3.3386

12
Lattice="3.3094 -3.4446 0.0000 3.3094 3.4446 0.0000 0.0000 0.0000 6.3557" Properties=species:S:1:pos:R:3 comment="PBE-GGA MgSc2OsO8, optimized geometry" energy_ev_per_atom=-7.652 spacegroup=Cmmm pbc="T T T"
Mg 0.0000 0.0000 0.0000
Sc 3.3094 0.0000 1.4960
Sc 3.3094 0.0000 4.8596
Os 0.0000 0.0000 3.1778
O 3.3094 2.1554 1.8340
O 3.3094 2.1554 4.5216
O 1.8972 0.0000 3.1778
O 1.9841 0.0000 0.0000
O 4.6346 0.0000 0.0000
O 4.7215 0.0000 3.1778
O 3.3094 -2.1554 1.8340
O 3.3094 -2.1554 4.5216

12
Lattice="4.5198 0.0000 0.0000 0.0000 6.2205 0.0000 -0.0837 0.0000 4.8886" Properties=species:S:1:pos:R:3 comment="PBE-GGA Mg2ScOsO8, optimized geometry" energy_ev_per_atom=-6.884 spacegroup=P2/m pbc="T T T"
Mg 0.0000 1.5502 0.0000
Mg 0.0000 4.6703 0.0000
Sc 2.2180 0.0000 2.4443
Os 2.2180 3.1102 2.4443
O 1.0912 3.1102 0.9450
O 1.1403 0.0000 0.7104
O 1.1822 1.7483 3.2088
O 1.1822 4.4721 3.2088
O 3.2539 1.7483 1.6798
O 3.2539 4.4721 1.6798
O 3.2957 0.0000 4.1782
O 3.3448 3.1102 3.9436

18
Lattice="4.9095 0.0000 0.0000 -2.4547 4.2517 0.0000 0.0000 0.0000 9.0117" Properties=species:S:1:pos:R:3 comment="PBE-GGA MgSiOsO6, optimized geometry" energy_ev_per_atom=-7.183 spacegroup=P-31c pbc="T T T"
Mg 0.0000 0.0000 0.0000
Mg 0.0000 0.0000 4.5058
Si 0.0000 2.8345 2.2529
Si 2.4547 1.4172 6.7588
Os 0.0000 2.8345 6.7588
Os 2.4547 1.4172 2.2529
O -0.7984 1.5676 1.2519
O -1.4964 2.7765 3.2540
O 0.7984 1.5676 3.2540
O -0.6980 4.1594 1.2519
O 1.7568 0.0924 5.7577
O 0.9584 1.4752 7.7598
O 1.4964 2.7765 1.2519
O 0.6980 4.1594 3.2540
O 3.1527 0.0924 7.7598
O 1.6564 2.6842 5.7577
O 3.9511 1.4752 5.7577
O 3.2531 2.6842 7.7598

12
Lattice="4.5524 0.0000 0.0000 0.0000 6.6900 0.0000 -0.0459 0.0000 4.7247" Properties=species:S:1:pos:R:3 comment="PBE-GGA SmMg2OsO8, optimized geometry" energy_ev_per_atom=-6.742 spacegroup=P2/m pbc="T T T"
Sm 0.0000 0.0000 0.0000
Mg 2.2532 1.7612 2.3624
Mg 2.2532 4.9288 2.3624
Os 0.0000 3.3450 0.0000
O 1.0272 1.9811 4.0070
O 1.0272 4.7089 4.0070
O 1.1015 3.3450 1.5094
O 1.1550 0.0000 2.0881
O 3.3514 0.0000 2.6366
O 3.4049 3.3450 3.2153
O 3.4792 1.9811 0.7178
O 3.4792 4.7089 0.7178

12
Lattice="5.7936 0.0000 0.0000 -2.8968 5.0174 0.0000 0.0000 0.0000 6.9025" Properties=species:S:1:pos:R:3 comment="PBE-GGA SrMgOs2O8, optimized geometry" energy_ev_per_atom=-6.948 spacegroup=P-3m1 pbc="T T T"
Sr 0.0000 0.0000 0.0000
Mg 0.0000 0.0000 3.4513
Os 0.0000 3.3450 5.2308
Os 2.8968 1.6725 1.6717
O 0.0000 1.5822 4.8075
O -1.5265 4.2263 4.8075
O 1.3703 0.7911 2.0950
O 0.0000 3.3450 0.1300
O 2.8968 1.6725 6.7725
O 1.5265 4.2263 4.8075
O 4.4234 0.7911 2.0950
O 2.8968 3.4352 2.0950

12
Lattice="4.6647 0.0000 0.0000 0.0038 5.2251 0.0000 1.2317 0.4216 6.6340" Properties=species:S:1:pos:R:3 comment="PBE-GGA Sr2MgOsO8, optimized geometry" energy_ev_per_atom=-6.354 spacegroup=P-1 pbc="T T T"
Sr 0.7594 0.1512 1.5114
Sr 5.1408 5.4955 5.1226
Mg 2.9501 2.8233 3.3170
Os 2.3343 2.6126 0.0000
O 2.1875 2.0240 5.9598
O 1.5490 2.6429 1.8051
O 2.6832 4.5841 6.1306
O 2.4492 4.8896 3.3092
O 3.4510 0.7571 3.3247
O 3.2170 1.0626 0.5034
O 4.3512 3.0038 4.8289
O 3.7127 3.6227 0.6742

18
Lattice="4.7411 0.0000 0.0000 0.0000 4.7411 0.0000 0.0000 0.0000 9.2319" Properties=species:S:1:pos:R:3 comment="PBE-GGA MgTaOsO6, optimized geometry" energy_ev_per_atom=-8.107 spacegroup=P4_2nm pbc="T T T"
Mg 0.0000 0.0000 0.0000
Mg 2.3705 2.3705 4.6159
Ta 0.0000 0.0000 6.1757
Ta 2.3705 2.3705 1.5598
Os 0.0000 0.0000 3.0564
Os 2.3705 2.3705 7.6723
O 0.8922 0.8922 4.5874
O 0.9447 0.9447 1.6068
O 0.9691 0.9691 7.5902
O 1.4015 3.3396 2.9743
O 1.4259 3.3152 6.2227
O 1.4783 3.2628 9.2034
O 3.2628 1.4783 9.2034
O 3.3152 1.4259 6.2227
O 3.3396 1.4015 2.9743
O 3.7720 3.7720 7.5902
O 3.7964 3.7964 1.6068
O 3.8489 3.8489 4.5874

12
Lattice="3.2673 -3.4024 0.0000 3.2673 3.4024 0.0000 0.0000 0.0000 6.5786" Properties=species:S:1:pos:R:3 comment="PBE-GGA TbMg2OsO8, optimized geometry" energy_ev_per_atom=-6.775 spacegroup=Cmmm pbc="T T T"
Tb 0.0000 0.0000 0.0000
Mg 3.2673 0.0000 1.7214
Mg 3.2673 0.0000 4.8572
Os 0.0000 0.0000 3.2893
O 3.2673 2.1064 1.9400
O 3.2673 2.1064 4.6385
O 1.8712 0.0000 3.2893
O 2.1480 0.0000 0.0000
O 4.3867 0.0000 0.0000
O 4.6635 0.0000 3.2893
O 3.2673 -2.1064 1.9400
O 3.2673 -2.1064 4.6385

12
Lattice="5.0191 0.0000 0.0000 0.0000 6.5894 0.0000 -0.4460 0.0000 5.0295" Properties=species:S:1:pos:R:3 comment="PBE-GGA MgTl2OsO8, optimized geometry" energy_ev_per_atom=-5.753 spacegroup=P2/m pbc="T T T"
Mg 0.0000 0.0000 0.0000
Tl 2.2865 1.5973 2.5148
Tl 2.2865 4.9921 2.5148
Os 0.0000 3.2947 0.0000
O 0.4985 1.9423 4.1919
O 0.4985 4.6471 4.1919
O 1.2882 3.2947 1.4563
O 1.2944 0.0000 1.4539
O 3.2787 0.0000 3.5756
O 3.2848 3.2947 3.5732
O 4.0745 1.9423 0.8376
O 4.0745 4.6471 0.8376